[1]
Density functional theory data (PBE) for a relaxed structure of LaFe2PAu.

Cell: 4.6391 4.6391 5.3661 Å, 90.00 90.00 90.00°
Atoms (fractional coordinates):
La 0.0000 0.0000 0.0000
Fe 0.0000 0.5000 0.0000
Fe 0.5000 0.0000 0.0000
P 0.0000 0.0000 0.5000
Au 0.5000 0.5000 0.5000

## Properties
theoretical density	6.88	Mg/m³
energy of formation from the pure elements	150	kJ per mole of atoms
DOS at the Fermi energy	5.64	states/eV/cell
symmetry	No. 123

=====

[2]
Density functional theory data (PBE) for a relaxed structure of LaFeTcAu2.

Cell: 4.9295 4.9295 4.6810 Å, 90.00 90.00 90.00°
Atoms (fractional coordinates):
La 0.0000 0.0000 0.0000
Fe 0.0000 0.0000 0.5000
Tc 0.5000 0.5000 0.0000
Au 0.0000 0.5000 0.5000
Au 0.5000 0.0000 0.5000

## Properties
theoretical density	10.02	Mg/m³
energy of formation from the pure elements	79	kJ per mole of atoms
DOS at the Fermi energy	6.24	states/eV/cell
symmetry	No. 123

=====

[3]
Density functional theory data (PBE) for a relaxed structure of La2ZnFeAu.

Cell: 5.1114 5.1114 4.7079 Å, 90.00 90.00 90.00°
Atoms (fractional coordinates):
La 0.0000 0.5000 0.0000
La 0.5000 0.0000 0.0000
Zn 0.0000 0.0000 0.5000
Fe 0.0000 0.0000 0.0000
Au 0.5000 0.5000 0.5000

## Properties
theoretical density	8.05	Mg/m³
energy of formation from the pure elements	-24	kJ per mole of atoms
DOS at the Fermi energy	4.09	states/eV/cell
symmetry	No. 123

=====

- Which of these has the highest theoretical density?
  LaFeTcAu2

=====

- Which value of DOS at the Fermi energy does entry 1 give?
  5.64 states/eV/cell

=====

- Number 1 is which compound?
  LaFe2PAu